#a
LiAl2Bi2 | GGA-PBE | optimized geometry

a = 8.031 Å, b = 8.031 Å, c = 3.960 Å
α = 90.00°, β = 90.00°, γ = 90.00°
Space group P4/mbm (No. 127)
One atom of each set of equivalent atoms:
Li 0.000 0.000 0.000 [2 per cell]
Al 0.125 0.375 0.500 [4 per cell]
Bi 0.169 0.669 0.000 [4 per cell]

As for the density of states at the Fermi level: 0.37 states/eV per atom.

#b
LiAl2Bi2 | GGA-PBE | optimized geometry

a = 7.935 Å, b = 7.935 Å, c = 3.947 Å
α = 90.00°, β = 90.00°, γ = 90.00°
Space group P4/mbm (No. 127)
One atom of each set of equivalent atoms:
Li 0.000 0.000 0.000 [2 per cell]
Al 0.122 0.378 0.000 [4 per cell]
Bi 0.175 0.675 0.500 [4 per cell]

As for the density of states at the Fermi level: 0.47 states/eV per atom.

Going by the energies, #b is most stable and the next is 2.5 kJ/mol of atoms up.

#a
LiAl2Bi2 | GGA-PBE | optimized geometry

a = 4.337 Å, b = 4.337 Å, c = 14.842 Å
α = 90.00°, β = 90.00°, γ = 90.00°
Space group I4/mmm (No. 139)
One atom of each set of equivalent atoms:
Li 0.000 0.000 0.000 [2 per cell]
Al 0.000 0.500 0.250 [4 per cell]
Bi 0.000 0.000 0.382 [4 per cell]

As for the density of states at the Fermi level: 0.52 states/eV per atom.

#b
LiAl2Bi2 | GGA-PBE | optimized geometry

a = 5.393 Å, b = 5.393 Å, c = 9.606 Å
α = 90.00°, β = 90.00°, γ = 90.00°
Space group I4/mmm (No. 139)
One atom of each set of equivalent atoms:
Li 0.000 0.000 0.000 [2 per cell]
Al 0.000 0.000 0.368 [4 per cell]
Bi 0.000 0.500 0.250 [4 per cell]

As for the density of states at the Fermi level: 0.42 states/eV per atom.

Going by the energies, #a is most stable and the next is 3.3 kJ/mol of atoms up.